Entry 1:
# Li2HfPd2, optimized geometry, DFT PBE
data_Li2HfPd2
_chemical_formula_sum 'Li4 Hf2 Pd4'
_symmetry_space_group_name_H-M 'P 1'
_symmetry_Int_Tables_number 1
_cell_length_a 7.328
_cell_length_b 7.328
_cell_length_c 2.929
_cell_angle_alpha 90.00
_cell_angle_beta 90.00
_cell_angle_gamma 90.00
loop_
_symmetry_equiv_pos_as_xyz
'x,y,z'
loop_
_atom_site_label
_atom_site_type_symbol
_atom_site_fract_x
_atom_site_fract_y
_atom_site_fract_z
Hf1 Hf 0.000 0.000 0.000
Pd1 Pd 0.168 0.332 0.000
Li1 Li 0.872 0.372 0.500
Li2 Li 0.628 0.872 0.500
Pd2 Pd 0.832 0.668 0.000
Pd3 Pd 0.668 0.168 0.000
Hf2 Hf 0.500 0.500 0.000
Pd4 Pd 0.332 0.832 0.000
Li3 Li 0.372 0.128 0.500
Li4 Li 0.128 0.628 0.500
# DFT formation energy	-8.18	kcal/mol of atoms
# ΔE to the lowest computed polymorph	13.6	kJ per mole of atoms
# Fermi-level density of states	0.405	states/eV/atom

***

Entry 2:
# LiHfPd3, optimized geometry, DFT PBE
data_LiHfPd3
_chemical_formula_sum 'Li4 Hf4 Pd12'
_symmetry_space_group_name_H-M 'P 1'
_symmetry_Int_Tables_number 1
_cell_length_a 7.044
_cell_length_b 6.699
_cell_length_c 7.314
_cell_angle_alpha 90.00
_cell_angle_beta 90.00
_cell_angle_gamma 90.00
loop_
_symmetry_equiv_pos_as_xyz
'x,y,z'
loop_
_atom_site_label
_atom_site_type_symbol
_atom_site_fract_x
_atom_site_fract_y
_atom_site_fract_z
Pd1 Pd 0.651 0.659 0.942
Li1 Li 0.500 0.000 0.500
Pd2 Pd 0.359 0.711 0.250
Pd3 Pd 0.651 0.659 0.558
Hf1 Hf 0.839 0.938 0.750
Pd4 Pd 0.141 0.211 0.750
Li2 Li 0.000 0.500 0.500
Pd5 Pd 0.151 0.841 0.558
Pd6 Pd 0.349 0.341 0.058
Hf2 Hf 0.661 0.438 0.250
Pd7 Pd 0.151 0.841 0.942
Pd8 Pd 0.349 0.341 0.442
Pd9 Pd 0.641 0.289 0.750
Pd10 Pd 0.849 0.159 0.442
Pd11 Pd 0.859 0.789 0.250
Pd12 Pd 0.849 0.159 0.058
Li3 Li 0.000 0.500 0.000
Hf3 Hf 0.161 0.062 0.250
Li4 Li 0.500 0.000 0.000
Hf4 Hf 0.339 0.562 0.750
# DFT formation energy	-9.78	kcal/mol of atoms
# ΔE to the lowest computed polymorph	22.1	kJ per mole of atoms
# Fermi-level density of states	0.607	states/eV/atom

***

Entry 3:
# LiHf3Pd4, optimized geometry, DFT PBE
data_LiHf3Pd4
_chemical_formula_sum 'Li1 Hf3 Pd4'
_symmetry_space_group_name_H-M 'P 1'
_symmetry_Int_Tables_number 1
_cell_length_a 4.640
_cell_length_b 4.640
_cell_length_c 8.052
_cell_angle_alpha 73.25
_cell_angle_beta 73.25
_cell_angle_gamma 60.00
loop_
_symmetry_equiv_pos_as_xyz
'x,y,z'
loop_
_atom_site_label
_atom_site_type_symbol
_atom_site_fract_x
_atom_site_fract_y
_atom_site_fract_z
Li1 Li 0.000 0.000 0.000
Pd1 Pd 0.621 0.621 0.136
Pd2 Pd 0.133 0.133 0.601
Hf1 Hf 0.257 0.257 0.230
Pd3 Pd 0.867 0.867 0.399
Pd4 Pd 0.379 0.379 0.864
Hf2 Hf 0.500 0.500 0.500
Hf3 Hf 0.743 0.743 0.770
# DFT formation energy	-14.58	kcal/mol of atoms
# ΔE to the lowest computed polymorph	0.0	kJ per mole of atoms
# Fermi-level density of states	0.548	states/eV/atom

***

Entry 4:
# LiHf2Pd2, optimized geometry, DFT PBE
data_LiHf2Pd2
_chemical_formula_sum 'Li2 Hf4 Pd4'
_symmetry_space_group_name_H-M 'P 1'
_symmetry_Int_Tables_number 1
_cell_length_a 7.977
_cell_length_b 7.977
_cell_length_c 3.005
_cell_angle_alpha 90.00
_cell_angle_beta 90.00
_cell_angle_gamma 90.00
loop_
_symmetry_equiv_pos_as_xyz
'x,y,z'
loop_
_atom_site_label
_atom_site_type_symbol
_atom_site_fract_x
_atom_site_fract_y
_atom_site_fract_z
Pd1 Pd 0.860 0.360 0.500
Hf1 Hf 0.844 0.656 0.000
Pd2 Pd 0.360 0.140 0.500
Hf2 Hf 0.156 0.344 0.000
Hf3 Hf 0.656 0.156 0.000
Pd3 Pd 0.640 0.860 0.500
Li1 Li 0.000 0.000 0.000
Li2 Li 0.500 0.500 0.000
Pd4 Pd 0.140 0.640 0.500
Hf4 Hf 0.344 0.844 0.000
# DFT formation energy	-8.46	kcal/mol of atoms
# ΔE to the lowest computed polymorph	9.7	kJ per mole of atoms
# Fermi-level density of states	0.663	states/eV/atom